No. 1
First-principles (meta-GGA SCAN) data for a crystal of CaBr2Cl relaxed with PBEsol, as listed in Alexandria via LeMat-Bulk.

## Properties
- Formation energy without anion corrections: -1372 meV/atom
- Total moment: 0.0 μB/f.u.

Unit cell a=4.255 b=4.255 c=5.365 alpha=90.00 beta=90.00 gamma=90.00
Element x y z (fractional)
Ca1 0.500 0.500 0.500
Br1 0.000 0.500 0.000
Br2 0.500 0.000 0.000
Cl1 0.000 0.000 0.500

=====

No. 2
First-principles (meta-GGA SCAN) data for a crystal of CaBr2Cl relaxed with PBEsol, as listed in Alexandria via LeMat-Bulk.

## Properties
- Formation energy without anion corrections: -1288 meV/atom
- Total moment: 1.0 μB/f.u.

Unit cell a=5.174 b=5.174 c=5.174 alpha=60.00 beta=60.00 gamma=60.00
Element x y z (fractional)
Ca1 0.500 0.500 0.500
Br1 0.000 0.000 0.000
Br2 0.750 0.750 0.750
Cl1 0.250 0.250 0.250

=====

No. 3
First-principles (meta-GGA SCAN) data for a crystal of Ca2BrCl relaxed with PBEsol, as listed in Alexandria via LeMat-Bulk.

## Properties
- Formation energy without anion corrections: -1500 meV/atom
- Total moment: 1.5 μB/f.u.

Unit cell a=3.682 b=6.002 c=6.002 alpha=72.59 beta=72.14 gamma=72.14
Element x y z (fractional)
Ca1 0.238 0.762 0.762
Ca2 0.762 0.238 0.238
Br1 0.000 0.500 0.500
Cl1 0.500 0.000 0.000

=====

No. 4
First-principles (meta-GGA SCAN) data for a crystal of CaBr2Cl relaxed with PBEsol, as listed in Alexandria via LeMat-Bulk.

## Properties
- Formation energy without anion corrections: -1518 meV/atom
- Total moment: 0.0 μB/f.u.

Unit cell a=4.288 b=5.463 c=5.536 alpha=119.57 beta=90.00 gamma=90.00
Element x y z (fractional)
Ca1 0.000 0.519 0.038
Br1 0.000 0.989 0.978
Br2 0.500 0.291 0.582
Cl1 0.500 0.709 0.419

=====

No. 5
First-principles (meta-GGA SCAN) data for a crystal of Ca2BrCl relaxed with PBEsol, as listed in Alexandria via LeMat-Bulk.

## Properties
- Formation energy without anion corrections: -1232 meV/atom
- Total moment: 1.7 μB/f.u.

Unit cell a=3.600 b=3.602 c=7.203 alpha=90.00 beta=90.00 gamma=90.00
Element x y z (fractional)
Ca1 0.000 0.000 0.754
Ca2 0.000 0.000 0.246
Br1 0.500 0.500 0.500
Cl1 0.500 0.500 0.000

=====

No. 6
First-principles (meta-GGA SCAN) data for a crystal of Ca2BrCl relaxed with PBEsol, as listed in Alexandria via LeMat-Bulk.

## Properties
- Formation energy without anion corrections: -1456 meV/atom
- Total moment: 0.0 μB/f.u.

Unit cell a=3.778 b=3.778 c=8.295 alpha=76.84 beta=76.84 gamma=60.00
Element x y z (fractional)
Ca1 0.244 0.244 0.267
Ca2 0.756 0.756 0.733
Br1 0.000 0.000 0.000
Cl1 0.500 0.500 0.500